No. 1
## KNb2N (PBE-GGA)

Data for a geometry-optimized KNb2N structure.

Space group   No. 141
D(E_F)   1.73 states/eV per atom
Total DFT energy (no corrections)   -6.933 eV/atom

The structure in POSCAR format:
```
KNb2N
1.0
-6.2635 -1.7608 -0.9411
0.9474 0.1067 -6.5045
-1.4133 -5.3124 -3.6151
Nb K N
4 2 2
direct
0.8750 0.6243 0.7500 Nb
0.3750 0.6257 0.7500 Nb
0.3743 0.1250 0.2500 Nb
0.3757 0.6250 0.2500 Nb
0.7500 0.2500 0.5000 K
0.0000 0.0000 0.0000 K
0.5000 0.5000 0.0000 N
0.2500 0.7500 0.5000 N
```

---

No. 2
## KNbN2 (PBE-GGA)

Data for a geometry-optimized KNbN2 structure.

Space group   No. 225
D(E_F)   0.78 states/eV per atom
Total DFT energy (no corrections)   -5.911 eV/atom

The structure in POSCAR format:
```
KNbN2
1.0
0.0000 2.8927 2.8927
2.8927 0.0000 2.8927
2.8927 2.8927 0.0000
N Nb K
2 1 1
direct
0.2500 0.2500 0.2500 N
0.7500 0.7500 0.7500 N
0.5000 0.5000 0.5000 Nb
0.0000 0.0000 0.0000 K
```

---

No. 3
## KNbNiN2 (PBE-GGA)

Data for a geometry-optimized KNbNiN2 structure.

Space group   No. 123
D(E_F)   0.97 states/eV per atom
Total DFT energy (no corrections)   -4.910 eV/atom

The structure in POSCAR format:
```
KNbNiN2
1.0
-3.8875 -0.3127 -1.3015
-0.2981 -4.1150 1.8791
-1.3109 1.6969 3.5080
Ni K N Nb
1 1 2 1
direct
0.0000 0.0000 0.0000 Ni
0.5000 0.5000 0.5000 K
0.0000 0.0000 0.5000 N
0.5000 0.0000 0.0000 N
0.0000 0.5000 0.0000 Nb
```

---

No. 4
## KNbP2N6 (PBE-GGA)

Data for a geometry-optimized KNbP2N6 structure.

Space group   No. 15
Total DFT energy (no corrections)   -7.572 eV/atom

The structure in POSCAR format:
```
KNbP2N6
1.0
4.8424 -0.3858 -0.4004
1.0635 6.9486 -0.4309
1.0635 -0.6881 6.9279
Nb P N K
2 4 12 2
direct
0.2500 0.2717 0.7283 Nb
0.7500 0.7283 0.2717 Nb
0.2973 0.3843 0.2262 P
0.7973 0.2262 0.3843 P
0.2027 0.7738 0.6157 P
0.7027 0.6157 0.7738 P
0.6273 0.3829 0.2687 N
0.8270 0.3829 0.7403 N
0.3270 0.7403 0.3829 N
0.6730 0.2597 0.6171 N
0.1273 0.2687 0.3829 N
0.7314 0.6963 0.9978 N
0.3727 0.6171 0.7313 N
0.8727 0.7313 0.6171 N
0.2314 0.9978 0.6963 N
0.2686 0.3037 0.0022 N
0.1730 0.6171 0.2597 N
0.7686 0.0022 0.3037 N
0.2500 0.9232 0.0768 K
0.7500 0.0768 0.9232 K
```

---

No. 5
## K4Pa3NbN8 (PBE-GGA)

Data for a geometry-optimized K4Pa3NbN8 structure.

Space group   No. 166
Total DFT energy (no corrections)   -7.891 eV/atom

The structure in POSCAR format:
```
K4Pa3NbN8
1.0
7.0098 0.0000 0.0000
0.0000 7.5867 0.3920
-3.5049 -3.4974 4.9621
K N Pa Nb
4 8 3 1
direct
0.0000 0.0000 0.0000 K
0.5000 0.0000 0.0000 K
0.0000 0.0000 0.5000 K
0.5000 0.0000 0.5000 K
0.2146 0.6639 0.4292 N
0.2146 0.6639 0.9495 N
0.7214 0.6641 0.4429 N
0.2786 0.3359 0.5571 N
0.7348 0.6639 0.9495 N
0.7854 0.3361 0.5708 N
0.2652 0.3361 0.0505 N
0.7854 0.3361 0.0505 N
0.0000 0.5000 0.5000 Pa
0.5000 0.5000 0.0000 Pa
0.5000 0.5000 0.5000 Pa
0.0000 0.5000 0.0000 Nb
```

---

No. 6
## K2Pa2NbN6 (PBE-GGA)

Data for a geometry-optimized K2Pa2NbN6 structure.

Space group   No. 12
D(E_F)   0.92 states/eV per atom
Total DFT energy (no corrections)   -8.328 eV/atom

The structure in POSCAR format:
```
K2Pa2NbN6
1.0
5.9407 0.0013 0.1052
-2.9351 5.1649 0.1052
-1.0177 -1.7492 6.4789
N K Pa Nb
6 2 2 1
direct
0.9583 0.6344 0.3429 N
0.2667 0.2667 0.3440 N
0.7333 0.7333 0.6560 N
0.3656 0.0417 0.6571 N
0.6344 0.9583 0.3429 N
0.0417 0.3656 0.6571 N
0.1603 0.8397 0.0000 K
0.8397 0.1603 0.0000 K
0.3338 0.6662 0.5000 Pa
0.6662 0.3338 0.5000 Pa
0.0000 0.0000 0.5000 Nb
```

---

No. 7
## KPmNb4N8 (PBE-GGA)

Data for a geometry-optimized KPmNb4N8 structure.

Space group   No. 160
Total DFT energy (no corrections)   -8.694 eV/atom

The structure in POSCAR format:
```
KPmNb4N8
1.0
6.4103 0.0000 0.0000
3.2052 5.5515 0.0000
3.2052 1.8505 5.6680
N Nb K Pm
8 4 1 1
direct
0.2554 0.2554 0.6840 N
0.7239 0.7239 0.2945 N
0.7239 0.2577 0.2945 N
0.8052 0.2554 0.6840 N
0.7651 0.7651 0.7047 N
0.2577 0.7239 0.2945 N
0.2353 0.2353 0.2941 N
0.2554 0.8052 0.6840 N
0.0021 0.4850 0.5108 Nb
0.6188 0.6188 0.1436 Nb
0.0021 0.0021 0.5108 Nb
0.4850 0.0021 0.5108 Nb
0.9938 0.9938 0.0186 K
0.3763 0.3763 0.8710 Pm
```

---

No. 8
## KNbReN4 (PBE-GGA)

Data for a geometry-optimized KNbReN4 structure.

Space group   No. 11
D(E_F)   0.50 states/eV per atom
Total DFT energy (no corrections)   -8.370 eV/atom

The structure in POSCAR format:
```
KNbReN4
1.0
-2.1035 -0.2844 5.3242
4.0291 -4.2988 1.3622
5.4110 5.0980 0.0834
N K Nb Re
8 2 2 2
direct
0.0753 0.5241 0.3525 N
0.0753 0.9759 0.3525 N
0.5318 0.7500 0.5968 N
0.4626 0.2500 0.7652 N
0.9247 0.0241 0.6475 N
0.4682 0.2500 0.4032 N
0.5374 0.7500 0.2348 N
0.9247 0.4759 0.6475 N
0.2458 0.2500 0.0439 K
0.7542 0.7500 0.9561 K
0.8377 0.7500 0.4655 Nb
0.1623 0.2500 0.5345 Nb
0.3133 0.7500 0.3737 Re
0.6867 0.2500 0.6263 Re
```

---

No. 9
## K2NbRe2N6 (PBE-GGA)

Data for a geometry-optimized K2NbRe2N6 structure.

Space group   No. 12
D(E_F)   0.26 states/eV per atom
Total DFT energy (no corrections)   -8.251 eV/atom

The structure in POSCAR format:
```
K2NbRe2N6
1.0
-3.7344 0.4553 4.6910
-0.1220 -4.9067 -3.4750
5.4100 0.5475 4.2537
Re N Nb K
2 6 1 2
direct
0.9265 0.8530 0.7788 Re
0.0735 0.1470 0.2212 Re
0.7630 0.0288 0.2955 N
0.2659 0.0288 0.2955 N
0.7339 0.4678 0.7040 N
0.2370 0.9712 0.7045 N
0.7341 0.9712 0.7045 N
0.2661 0.5322 0.2960 N
0.5000 0.0000 0.5000 Nb
0.2793 0.5585 0.8374 K
0.7207 0.4415 0.1626 K
```

---

No. 10
## K2NbRuN (PBE-GGA)

Data for a geometry-optimized K2NbRuN structure.

Space group   No. 123
D(E_F)   0.91 states/eV per atom
Total DFT energy (no corrections)   -4.838 eV/atom

The structure in POSCAR format:
```
K2NbRuN
1.0
-5.4296 -1.2635 1.8172
-0.6149 -1.9053 -3.1621
1.9927 -4.8860 2.5566
Ru N Nb K
1 1 1 2
direct
0.0000 0.5000 0.0000 Ru
0.0000 0.0000 0.0000 N
0.5000 0.5000 0.5000 Nb
0.0000 0.0000 0.5000 K
0.5000 0.0000 0.0000 K
```

---

No. 11
## KNbSN2 (PBE-GGA)

Data for a geometry-optimized KNbSN2 structure.

Space group   No. 123
D(E_F)   0.95 states/eV per atom
Total DFT energy (no corrections)   -3.896 eV/atom
Energy relative to the lowest polymorph listed for this composition   2.6055 eV per atom

The structure in POSCAR format:
```
KNbSN2
1.0
-3.7987 0.0836 1.6788
-1.5092 -1.9961 -3.3155
0.9531 -4.6908 2.3903
N Nb S K
2 1 1 1
direct
0.5000 0.0000 0.0000 N
0.0000 0.5000 0.0000 N
0.5000 0.5000 0.5000 Nb
0.0000 0.0000 0.5000 S
0.0000 0.0000 0.0000 K
```

---

No. 12
## KNbS2N (PBE-GGA)

Data for a geometry-optimized KNbS2N structure.

Space group   No. 123
D(E_F)   1.12 states/eV per atom
Total DFT energy (no corrections)   -3.462 eV/atom
Energy relative to the lowest polymorph listed for this composition   2.6407 eV per atom

The structure in POSCAR format:
```
KNbS2N
1.0
-4.8355 0.3898 -1.4636
-1.3294 -3.4388 3.4762
-0.5562 2.8362 2.5930
S Nb K N
2 1 1 1
direct
0.5000 0.0000 0.0000 S
0.0000 0.5000 0.0000 S
0.5000 0.5000 0.5000 Nb
0.0000 0.0000 0.0000 K
0.0000 0.0000 0.5000 N
```

---

Listing ρ for the structures above in their given order: 3.94, 5.49, 4.74, 3.88, 6.40, 5.93, 5.50, 5.04, 5.58, 3.69, 3.45, 3.50 g cm⁻³.
Listing M_tot for the structures above in their given order: 0.00, 0.00, 3.53, 0.00, 0.00, 0.00, 0.00, 0.00, 0.00, 3.70, 0.00, 0.04 μB/f.u..
Listing ΔE_f (raw) for the structures above in their given order: 1.831, 4.172, 9.048, -3.777, -16.708, -10.400, -8.979, -1.675, -3.650, 5.674, 12.466, 10.439 eV per formula unit.